# 1
A plane-wave DFT calculation with GGA-PBE was carried out for crystalline Al3Ag2 at its relaxed geometry.

Properties
Energy of formation ... 0.3 eV/f.u.
DFT total energy ... -66.70 eV/cell
M_tot ... 0.00 μB per cell
Density of states at the Fermi level ... 0.3436 states/eV/atom

Geometry as CIF:
```
data_Al3Ag2
_chemical_formula_sum 'Al12 Ag8'
_cell_length_a 12.626
_cell_length_b 4.718
_cell_length_c 7.911
_cell_angle_alpha 90.00
_cell_angle_beta 128.40
_cell_angle_gamma 90.00
_symmetry_space_group_name_H-M 'C 1 2/c 1'
_symmetry_Int_Tables_number 15
_symmetry_space_group_name_Hall '-C 2yc'
loop_
_atom_site_label
_atom_site_fract_x
_atom_site_fract_y
_atom_site_fract_z
Al1 0.000 0.206 0.250
Al2 0.225 0.491 0.574
Ag1 0.059 0.270 0.643
```

---

# 2
A plane-wave DFT calculation with GGA-PBE was carried out for crystalline Al7Ag5 at its relaxed geometry.

Properties
Energy of formation ... -0.1 eV/f.u.
DFT total energy ... -40.58 eV/cell
M_tot ... 0.00 μB per cell
Density of states at the Fermi level ... 0.2111 states/eV/atom

Geometry as CIF:
```
data_Al7Ag5
_chemical_formula_sum 'Al7 Ag5'
_cell_length_a 5.615
_cell_length_b 6.440
_cell_length_c 6.515
_cell_angle_alpha 98.76
_cell_angle_beta 115.16
_cell_angle_gamma 98.81
_symmetry_space_group_name_H-M 'P 1'
_symmetry_Int_Tables_number 1
_symmetry_space_group_name_Hall 'P 1'
loop_
_atom_site_label
_atom_site_fract_x
_atom_site_fract_y
_atom_site_fract_z
Al1 0.000 0.000 0.000
Al2 0.000 0.332 0.331
Al3 0.246 0.337 0.834
Al4 0.249 0.001 0.503
Al5 0.502 0.346 0.337
Al6 0.731 0.666 0.150
Al7 0.752 0.001 0.497
Ag1 0.234 0.668 0.164
Ag2 0.502 0.018 0.017
Ag3 0.507 0.674 0.672
Ag4 0.742 0.318 0.822
Ag5 0.995 0.667 0.646
```

---

# 3
A plane-wave DFT calculation with GGA-PBE was carried out for crystalline Al6Ag at its relaxed geometry.

Properties
Energy of formation ... -0.1 eV/f.u.
DFT total energy ... -76.12 eV/cell
M_tot ... 0.00 μB per cell
Density of states at the Fermi level ... 0.2199 states/eV/atom

Geometry as CIF:
```
data_Al6Ag
_chemical_formula_sum 'Al18 Ag3'
_cell_length_a 2.8449
_cell_length_b 2.8449
_cell_length_c 50.0590
_cell_angle_alpha 90.00
_cell_angle_beta 90.00
_cell_angle_gamma 120.00
_symmetry_space_group_name_H-M 'R -3 m'
_symmetry_Int_Tables_number 166
_symmetry_space_group_name_Hall '-R 3 2"'
loop_
_atom_site_label
_atom_site_fract_x
_atom_site_fract_y
_atom_site_fract_z
Al1 0.0000 0.0000 0.0721
Al2 0.0000 0.0000 0.2139
Al3 0.0000 0.0000 0.3574
Ag1 0.0000 0.0000 0.5000
```

---

# 4
A plane-wave DFT calculation with GGA-PBE was carried out for crystalline Al3Ag2 at its relaxed geometry.

Properties
Energy of formation ... -0.2 eV/f.u.
DFT total energy ... -17.08 eV/cell
M_tot ... 0.00 μB per cell
Density of states at the Fermi level ... 0.2656 states/eV/atom

Geometry as CIF:
```
data_Al3Ag2
_chemical_formula_sum 'Al3 Ag2'
_cell_length_a 3.100
_cell_length_b 3.931
_cell_length_c 7.301
_cell_angle_alpha 76.58
_cell_angle_beta 77.79
_cell_angle_gamma 89.91
_symmetry_space_group_name_H-M 'P -1'
_symmetry_Int_Tables_number 2
_symmetry_space_group_name_Hall '-P 1'
loop_
_atom_site_label
_atom_site_fract_x
_atom_site_fract_y
_atom_site_fract_z
Al1 0.000 0.000 0.000
Al2 0.401 0.399 0.199
Ag1 0.194 0.198 0.611
```

---

- Which value of density of states at the Fermi level does entry 3 give?
  0.2199 states/eV/atom

---

- Number 4 is which compound?
  Al3Ag2

---

- What is the energy of formation in the second record?
  -0.1 eV/f.u.